[1]
Dy3As2S2: relaxed, PBE.

a = 7.751 Å, b = 7.751 Å, c = 7.192 Å
α = 117.05°, β = 117.05°, γ = 30.17°
Atoms (fractional coordinates):
Dy (0.000, 0.000, 0.000)
Dy (0.279, 0.279, 0.297)
Dy (0.721, 0.721, 0.703)
As (0.363, 0.363, 0.008)
As (0.637, 0.637, 0.992)
S (0.131, 0.131, 0.431)
S (0.869, 0.869, 0.569)

***

[2]
BaTeBr2: relaxed, PBE.

a = 5.825 Å, b = 5.825 Å, c = 5.825 Å
α = 60.00°, β = 60.00°, γ = 60.00°
Atoms (fractional coordinates):
Ba (0.000, 0.000, 0.000)
Te (0.250, 0.250, 0.250)
Br (0.500, 0.500, 0.500)
Br (0.750, 0.750, 0.750)

## Properties
Polymorph energy (0 for the lowest one) ... 39.9 kJ per mole of atoms

***

E_tot: -5.976; -3.029 (eV/atom)
ΔE_f (raw): -1.50; -0.93 (eV per atom)